A relaxed structure of Sm2ScGe3Rh4, computed with PBE-GGA.

```
data_Sm2ScGe3Rh4
_space_group_name_H-M_alt 'P -4 m 2'
_space_group_IT_number 115
_cell_length_a 4.1316
_cell_length_b 4.1316
_cell_length_c 10.9969
_cell_angle_alpha 90.00
_cell_angle_beta 90.00
_cell_angle_gamma 90.00
loop_
_space_group_symop_operation_xyz
'x,y,z'
'y,-x,-z'
'-x,-y,z'
'-y,x,-z'
'-x,y,z'
'-y,-x,-z'
'x,-y,z'
'y,x,-z'
loop_
_atom_site_label
_atom_site_type_symbol
_atom_site_fract_x
_atom_site_fract_y
_atom_site_fract_z
_atom_site_occupancy
Sm1 Sm 0.0000 0.5000 0.2353 1
Sc1 Sc 0.0000 0.0000 0.5000 1
Ge1 Ge 0.0000 0.5000 0.8745 1
Ge2 Ge 0.5000 0.5000 0.5000 1
Rh1 Rh 0.0000 0.0000 0.0000 1
Rh2 Rh 0.0000 0.5000 0.6495 1
Rh3 Rh 0.5000 0.5000 0.0000 1
```

Energy of formation from the pure elements ... -0.920 eV per atom


A relaxed structure of Ta2TlTeS, computed with PBE-GGA.

```
data_Ta2TlTeS
_space_group_name_H-M_alt 'P 4/m m m'
_space_group_IT_number 123
_space_group_name_Hall '-P 4 2'
_cell_length_a 5.1625
_cell_length_b 5.1625
_cell_length_c 5.1380
_cell_angle_alpha 90.00
_cell_angle_beta 90.00
_cell_angle_gamma 90.00
loop_
_atom_site_label
_atom_site_type_symbol
_atom_site_fract_x
_atom_site_fract_y
_atom_site_fract_z
_atom_site_occupancy
Ta1 Ta 0.0000 0.5000 0.0000 1
Tl1 Tl 0.0000 0.0000 0.5000 1
Te1 Te 0.5000 0.5000 0.0000 1
S1 S 0.5000 0.5000 0.5000 1
```

E_form (uncorrected) ... 1.58 eV/atom


A relaxed structure of Mn2CdMo, computed with PBE-GGA.

```
data_Mn2CdMo
_space_group_name_H-M_alt 'I -4 2 d'
_space_group_IT_number 122
_space_group_name_Hall 'I -4 2bw'
_cell_length_a 6.9779
_cell_length_b 6.9779
_cell_length_c 5.5307
_cell_angle_alpha 90.00
_cell_angle_beta 90.00
_cell_angle_gamma 90.00
loop_
_atom_site_label
_atom_site_type_symbol
_atom_site_fract_x
_atom_site_fract_y
_atom_site_fract_z
_atom_site_occupancy
Mn1 Mn 0.2135 0.2500 0.1250 1
Cd1 Cd 0.0000 0.0000 0.5000 1
Mo1 Mo 0.0000 0.0000 0.0000 1
```

Energy of formation from the pure elements ... 0.794 eV per atom


Number 1: ρ 8.627 g/cm³. Number 2: ρ 8.803 g/cm³. Number 3: ρ 7.849 g/cm³.